Nd3Ni5C2, optimized geometry, DFT GGA-PBE; DFT total energy = -124.5 eV per cell; DOS at the Fermi energy = 18.439 states/eV/cell; energy relative to the elements = -0.061 eV/atom
1.0
-6.708 -2.249 0.706
-2.457 -5.786 -5.983
-0.892 -8.631 -0.170
Nd Ni C
6 10 4
Direct
0.250 0.000 0.000
0.750 0.000 0.000
0.330 0.514 0.825
0.670 0.486 0.175
0.830 0.825 0.514
0.170 0.175 0.486
0.250 0.500 0.500
0.750 0.500 0.500
0.437 0.813 0.813
0.063 0.187 0.187
0.563 0.187 0.187
0.937 0.813 0.813
0.080 0.633 0.206
0.920 0.367 0.794
0.580 0.206 0.633
0.420 0.794 0.367
0.152 0.800 0.897
0.848 0.200 0.103
0.652 0.897 0.800
0.348 0.103 0.200

***

Nd2NiC4, optimized geometry, DFT GGA-PBE; DFT total energy = -106.6 eV per cell; DOS at the Fermi energy = 2.874 states/eV/cell; energy relative to the elements = -0.156 eV/atom
1.0
4.893 0.000 1.944
1.746 6.067 2.737
0.100 0.037 6.880
Ni C Nd
2 8 4
Direct
0.250 0.000 0.000
0.750 0.000 0.000
0.123 0.215 0.539
0.877 0.785 0.461
0.623 0.539 0.215
0.377 0.461 0.785
0.083 0.086 0.749
0.917 0.914 0.251
0.583 0.749 0.086
0.417 0.251 0.914
0.357 0.814 0.472
0.643 0.186 0.528
0.857 0.472 0.814
0.143 0.528 0.186